Record 1
DFT (PBE) results for an optimized crystal structure of Cd2CoHg.

Structure (CIF):
```
data_Cd2CoHg
_symmetry_space_group_name_H-M 'F -4 3 m'
_symmetry_Int_Tables_number 216
_symmetry_space_group_name_Hall 'F -4 2 3'
_cell_length_a 6.678
_cell_length_b 6.678
_cell_length_c 6.678
_cell_angle_alpha 90.00
_cell_angle_beta 90.00
_cell_angle_gamma 90.00
loop_
_atom_site_label
_atom_site_type_symbol
_atom_site_fract_x
_atom_site_fract_y
_atom_site_fract_z
Cd1 Cd 0.000 0.000 0.000
Cd2 Cd 0.250 0.250 0.250
Co1 Co 0.250 0.250 0.750
Hg1 Hg 0.000 0.000 0.500
```

Summary:
Magnetization, μB per formula unit: 1.34
E_form, meV per atom: 350

***

Record 2
DFT (PBE) results for an optimized crystal structure of Ca3NdNi2.

Structure (CIF):
```
data_Ca3NdNi2
_symmetry_space_group_name_H-M 'C 1 2/m 1'
_symmetry_Int_Tables_number 12
_cell_length_a 17.056
_cell_length_b 4.005
_cell_length_c 11.744
_cell_angle_alpha 90.00
_cell_angle_beta 121.83
_cell_angle_gamma 90.00
loop_
_symmetry_equiv_pos_as_xyz
'x,y,z'
'-x,-y,-z'
'-x,y,-z'
'x,-y,z'
'x+1/2,y+1/2,z'
'-x+1/2,-y+1/2,-z'
'-x+1/2,y+1/2,-z'
'x+1/2,-y+1/2,z'
loop_
_atom_site_label
_atom_site_type_symbol
_atom_site_fract_x
_atom_site_fract_y
_atom_site_fract_z
Ca1 Ca 0.086 0.000 0.441
Ca2 Ca 0.089 0.000 0.941
Ca3 Ca 0.157 0.500 0.250
Nd1 Nd 0.169 0.500 0.754
Ni1 Ni 0.235 0.500 0.546
Ni2 Ni 0.238 0.500 0.051
```

Summary:
Magnetization, μB per formula unit: 0.00
E_form, meV per atom: -155